Record 1
Cs2TlCl6O | PBE | relaxed

Cell: 6.9898 6.9898 7.8732 Å, 63.65 63.65 90.00°
Atoms (fractional coordinates):
1 Cs 0.7500 0.2500 0.5000
2 Cs 0.2500 0.7500 0.5000
3 Tl 0.0000 0.0000 0.0000
4 O 0.5000 0.5000 0.0000
5 Cl 0.2160 0.2160 0.5680
6 Cl 0.7840 0.7840 0.4320
7 Cl 0.2749 0.2749 0.0000
8 Cl 0.7251 0.7251 0.0000
9 Cl 0.7251 0.2749 0.0000
10 Cl 0.2749 0.7251 0.0000

Computed properties:
Crystal system   tetragonal
Total energy   -28.3 eV per cell
Formation energy (no corrections)   -0.82 eV/atom

***

Record 2
Np2Fe12B7 | PBE | relaxed

Cell: 3.0901 8.9439 8.9439 Å, 120.00 90.00 90.00°
Site moments in Bohr magnetons follow the coordinates.
Atoms (fractional coordinates):
1 Np 0.5000 0.0000 0.0000  -3.03
2 Np 0.0000 0.6667 0.3333  -3.13
3 Fe 0.5000 0.8942 0.6109  1.49
4 Fe 0.5000 0.7168 0.1058  1.49
5 Fe 0.5000 0.3891 0.2832  1.49
6 Fe 0.5000 0.2320 0.7917  1.97
7 Fe 0.5000 0.5597 0.7680  1.97
8 Fe 0.5000 0.2083 0.4403  1.97
9 Fe 0.0000 0.0608 0.5447  1.36
10 Fe 0.0000 0.4839 0.9392  1.36
11 Fe 0.0000 0.4553 0.5161  1.36
12 Fe 0.0000 0.7703 0.7311  1.48
13 Fe 0.0000 0.9609 0.2297  1.48
14 Fe 0.0000 0.2689 0.0391  1.48
15 B 0.0000 0.3333 0.6667  -0.11
16 B 0.0000 0.0474 0.7764  -0.09
17 B 0.0000 0.7290 0.9526  -0.09
18 B 0.0000 0.2236 0.2710  -0.09
19 B 0.5000 0.6266 0.5587  -0.08
20 B 0.5000 0.9321 0.3734  -0.08
21 B 0.5000 0.4413 0.0679  -0.08

Computed properties:
E_form   -0.232 eV per atom
Crystal system   hexagonal
Total energy   -179.0 eV per cell

***

Record 3
CdSn2HgP | PBE | relaxed

Cell: 5.5264 5.1948 5.5264 Å, 90.00 90.00 90.00°
Atoms (fractional coordinates):
1 P 0.5000 0.5000 0.5000
2 Cd 0.0000 0.5000 0.0000
3 Hg 0.0000 0.0000 0.0000
4 Sn 0.0000 0.0000 0.5000
5 Sn 0.5000 0.0000 0.0000

Computed properties:
E_form   0.812 eV per atom
Crystal system   tetragonal
Total energy   -10.6 eV per cell

***

Record 4
Tl3OsBr7 | PBE | relaxed

Cell: 7.4751 7.4751 8.2982 Å, 69.64 69.64 83.06°
Site moments in Bohr magnetons follow the coordinates.
Atoms (fractional coordinates):
1 Tl 0.7862 0.2091 0.4830  0.02
2 Tl 0.5056 0.5056 0.9495  0.01
3 Tl 0.2091 0.7862 0.4830  0.02
4 Os 0.0119 0.0119 0.9693  1.29
5 Br 0.1685 0.1685 0.1087  0.06
6 Br 0.6926 0.0578 0.1842  0.07
7 Br 0.9703 0.3288 0.7453  0.06
8 Br 0.0578 0.6926 0.1842  0.07
9 Br 0.5434 0.5434 0.5621  0.03
10 Br 0.3288 0.9703 0.7453  0.06
11 Br 0.8508 0.8508 0.8355  0.05

Computed properties:
Crystal system   monoclinic
Total energy   -35.5 eV per cell
Formation energy (no corrections)   -0.50 eV/atom

***

Record 5
Pm2Nd5Ho6 | PBE | relaxed

Cell: 3.6100 11.7406 20.6106 Å, 90.00 90.00 90.00°
Atoms (fractional coordinates):
1 Pm 0.0000 0.3272 0.2845
2 Pm 0.0000 0.6728 0.7155
3 Pm 0.0000 0.8272 0.2155
4 Pm 0.0000 0.1728 0.7845
5 Nd 0.5000 0.2997 0.4485
6 Nd 0.5000 0.7003 0.5515
7 Nd 0.5000 0.7997 0.0515
8 Nd 0.5000 0.2003 0.9485
9 Nd 0.5000 0.5849 0.2770
10 Nd 0.5000 0.4151 0.7230
11 Nd 0.5000 0.0849 0.2230
12 Nd 0.5000 0.9151 0.7770
13 Nd 0.5000 0.5000 0.0000
14 Nd 0.5000 0.0000 0.5000
15 Ho 0.0000 0.0773 0.3662
16 Ho 0.0000 0.9227 0.6338
17 Ho 0.0000 0.5773 0.1338
18 Ho 0.0000 0.4227 0.8662
19 Ho 0.5000 0.3208 0.1319
20 Ho 0.5000 0.6792 0.8681
21 Ho 0.5000 0.8208 0.3681
22 Ho 0.5000 0.1792 0.6319
23 Ho 0.0000 0.5613 0.4218
24 Ho 0.0000 0.4387 0.5782
25 Ho 0.0000 0.0613 0.0782
26 Ho 0.0000 0.9387 0.9218

Computed properties:
E_form   0.094 eV per atom
Crystal system   orthorhombic
Total energy   -119.2 eV per cell

***

Record 6
Tl2SnPbAu2 | PBE | relaxed

Cell: 4.7940 7.7667 8.5579 Å, 90.00 90.00 90.00°
Atoms (fractional coordinates):
1 Tl 0.5000 0.0221 0.0983
2 Tl 0.0000 0.3399 0.1646
3 Tl 0.5000 0.5221 0.9017
4 Tl 0.0000 0.8399 0.8354
5 Sn 0.5000 0.1371 0.6976
6 Sn 0.5000 0.6371 0.3024
7 Pb 0.0000 0.0034 0.4388
8 Pb 0.0000 0.5034 0.5612
9 Au 0.0000 0.2545 0.8268
10 Au 0.5000 0.2886 0.3991
11 Au 0.0000 0.7545 0.1732
12 Au 0.5000 0.7886 0.6009

Computed properties:
E_form   -0.090 eV per atom
Crystal system   orthorhombic
Total energy   -39.1 eV per cell

***

Record 7
Ba6Br7 | PBE | relaxed

Cell: 13.2060 13.2060 13.2060 Å, 31.95 31.95 31.95°
Site moments in Bohr magnetons follow the coordinates.
Atoms (fractional coordinates):
1 Ba 0.9393 0.9393 0.9393  0.18
2 Ba 0.0607 0.0607 0.0607  0.18
3 Ba 0.7992 0.7992 0.7992  0.10
4 Ba 0.2008 0.2008 0.2008  0.10
5 Ba 0.6671 0.6671 0.6671  0.14
6 Ba 0.3329 0.3329 0.3329  0.14
7 Br 0.9298 0.4340 0.4340  0.01
8 Br 0.4340 0.4340 0.9298  0.01
9 Br 0.4340 0.9298 0.4340  0.01
10 Br 0.0702 0.5661 0.5661  0.01
11 Br 0.5661 0.0702 0.5661  0.01
12 Br 0.5661 0.5661 0.0702  0.01
13 Br 0.5000 0.5000 0.5000  0.04

Computed properties:
Crystal system   trigonal
Total energy   -42.9 eV per cell
Formation energy (no corrections)   -1.51 eV/atom

***

Record 8
TlCr2Re | PBE | relaxed

Cell: 8.8001 8.8001 8.8001 Å, 19.08 19.08 19.08°
Site moments in Bohr magnetons follow the coordinates.
Atoms (fractional coordinates):
1 Cr 0.9864 0.9864 0.9864  1.70
2 Cr 0.2542 0.2542 0.2542  -1.12
3 Re 0.5118 0.5118 0.5118  0.20
4 Tl 0.7476 0.7476 0.7476  -0.04

Computed properties:
E_form   0.698 eV per atom
Crystal system   trigonal
Total energy   -31.3 eV per cell
Polymorph energy (0 for the lowest one)   0.2261 eV/atom

***

Record 9
Li2UTe4 | PBE | relaxed

Cell: 6.1233 10.1119 7.5254 Å, 119.06 90.00 90.00°
Site moments in Bohr magnetons follow the coordinates.
Atoms (fractional coordinates):
1 Li 0.7500 0.5320 0.9384  0.00
2 Li 0.2500 0.4680 0.0616  0.00
3 Li 0.2500 0.6570 0.5503  -0.01
4 Li 0.7500 0.3430 0.4497  -0.01
5 U 0.7500 0.9425 0.7056  1.75
6 U 0.2500 0.0575 0.2944  1.75
7 Te 0.5034 0.2297 0.7195  -0.07
8 Te 0.7500 0.0527 0.1581  -0.12
9 Te 0.2500 0.9473 0.8419  -0.12
10 Te 0.9966 0.2297 0.7195  -0.07
11 Te 0.2500 0.3549 0.3248  -0.11
12 Te 0.0034 0.7703 0.2805  -0.07
13 Te 0.4966 0.7703 0.2805  -0.07
14 Te 0.7500 0.6451 0.6752  -0.11

Computed properties:
Crystal system   monoclinic
Total energy   -64.4 eV per cell
Polymorph energy (0 for the lowest one)   0.0000 eV/atom
Formation energy (no corrections)   -0.64 eV/atom

***

Record 10
CaMoPd | PBE | relaxed

Cell: 4.9919 3.4100 8.2773 Å, 65.69 72.56 89.97°
Atoms (fractional coordinates):
1 Ca 0.3338 0.5735 0.0227
2 Ca 0.6689 0.2393 0.3565
3 Mo 0.1220 0.6441 0.4515
4 Mo 0.0030 0.9084 0.6874
5 Pd 0.8459 0.0984 0.9972
6 Pd 0.5038 0.4079 0.6883

Computed properties:
E_form   0.009 eV per atom
Crystal system   monoclinic
Total energy   -36.0 eV per cell
Polymorph energy (0 for the lowest one)   0.1085 eV/atom

***

Record 11
Li2Nd2DyMg5 | PBE | relaxed

Cell: 4.4524 10.7228 10.7228 Å, 90.00 90.00 90.00°
Atoms (fractional coordinates):
1 Li 0.0000 0.1139 0.6139
2 Li 0.0000 0.8861 0.3861
3 Li 0.0000 0.6139 0.8861
4 Li 0.0000 0.3861 0.1139
5 Nd 0.0000 0.6811 0.1811
6 Nd 0.0000 0.3189 0.8189
7 Nd 0.0000 0.1811 0.3189
8 Nd 0.0000 0.8189 0.6811
9 Dy 0.0000 0.0000 0.0000
10 Dy 0.0000 0.5000 0.5000
11 Mg 0.5000 0.2143 0.0603
12 Mg 0.5000 0.7857 0.9397
13 Mg 0.5000 0.0603 0.7857
14 Mg 0.5000 0.7143 0.4397
15 Mg 0.5000 0.9397 0.2143
16 Mg 0.5000 0.2857 0.5603
17 Mg 0.5000 0.5603 0.7143
18 Mg 0.5000 0.4397 0.2857
19 Mg 0.5000 0.5000 0.0000
20 Mg 0.5000 0.0000 0.5000

Computed properties:
E_form   -0.046 eV per atom
Crystal system   tetragonal
Total energy   -52.8 eV per cell

***

Record 12
Pm4HfTh3N8 | PBE | relaxed

Cell: 7.1666 7.1641 7.1665 Å, 120.01 120.00 90.00°
Atoms (fractional coordinates):
1 Pm 0.5000 0.0000 0.0000
2 Pm 0.5000 0.0000 0.5000
3 Pm 0.0000 0.0000 0.0000
4 Pm 0.0000 0.0000 0.5000
5 Hf 0.0000 0.5000 0.0000
6 Th 0.5000 0.5000 0.0000
7 Th 0.5000 0.5000 0.5000
8 Th 0.0000 0.5000 0.5000
9 N 0.2312 0.7250 0.9939
10 N 0.2312 0.7250 0.4623
11 N 0.2530 0.2590 0.5060
12 N 0.7627 0.7250 0.9939
13 N 0.2373 0.2750 0.0061
14 N 0.7470 0.7410 0.4940
15 N 0.7688 0.2750 0.5377
16 N 0.7688 0.2750 0.0061

Computed properties:
Crystal system   trigonal
Total energy   -142.4 eV per cell
Formation energy (no corrections)   -1.53 eV/atom